# 1
! Sn2OsRh (PBE-GGA, optimized geometry); values from VASP
&SYSTEM
  ibrav = 0, nat = 8, ntyp = 3
/
ATOMIC_SPECIES
Sn 118.71 Sn.upf
Os 190.23 Os.upf
Rh 102.91 Rh.upf
ATOMIC_POSITIONS angstrom
Sn 5.3199 5.3119 6.6337
Sn 1.0720 3.1920 2.2112
Sn 3.1920 3.2000 6.6337
Sn 3.1839 1.0640 2.2112
Os 4.2559 2.1280 4.4225
Os 0.0000 0.0000 0.0000
Rh 2.1280 4.2559 4.4225
Rh 2.1280 2.1280 0.0000
CELL_PARAMETERS angstrom
4.2559 0.0000 0.0000
0.0000 4.2559 0.0000
2.1280 2.1280 8.8449
! DOS(E_F), states/eV/cell: 7.44
! Mass density, g cm⁻³: 10.998
! Energy of formation, eV/atom: 0.501
! Magnetic moment, μB per atom: 0.000

***

# 2
! SnOsRh2 (PBE-GGA, optimized geometry); values from VASP
&SYSTEM
  ibrav = 0, nat = 8, ntyp = 3
/
ATOMIC_SPECIES
Os 190.23 Os.upf
Rh 102.91 Rh.upf
Sn 118.71 Sn.upf
ATOMIC_POSITIONS angstrom
Os 0.0000 0.0000 0.0000
Os 5.5691 2.7846 3.0344
Rh 4.3812 1.3923 1.5172
Rh 1.1879 4.1768 1.5172
Rh 4.1768 3.9724 4.5515
Rh 6.9614 7.1658 4.5515
Sn 2.7846 5.5691 3.0344
Sn 2.7846 2.7846 0.0000
CELL_PARAMETERS angstrom
5.5691 0.0000 0.0000
0.0000 5.5691 0.0000
2.7846 2.7846 6.0687
! DOS(E_F), states/eV/cell: 8.31
! Mass density, g cm⁻³: 9.083
! Energy of formation, eV/atom: 0.773
! Magnetic moment, μB per atom: 0.000

***

# 3
! SnOsRh (PBE-GGA, optimized geometry); values from VASP
&SYSTEM
  ibrav = 0, nat = 6, ntyp = 3
/
ATOMIC_SPECIES
Os 190.23 Os.upf
Sn 118.71 Sn.upf
Rh 102.91 Rh.upf
ATOMIC_POSITIONS angstrom
Os -0.4444 0.4134 -1.5039
Os -6.2469 -1.2681 0.9329
Sn -10.2179 -1.3258 2.0904
Sn -2.2758 -1.2104 -0.2247
Rh -4.5136 0.3548 -0.3174
Rh -8.4231 0.2980 0.8222
CELL_PARAMETERS angstrom
-0.7105 1.7718 -2.3490
-0.0458 -3.0110 -0.3071
-12.0482 -0.1750 3.5119
! DOS(E_F), states/eV/cell: 4.96
! Mass density, g cm⁻³: 13.734
! Energy of formation, eV/atom: 0.333
! Magnetic moment, μB per atom: 0.000

***

# 4
! Sn3OsRh (PBE-GGA, optimized geometry); values from VASP
&SYSTEM
  ibrav = 0, nat = 5, ntyp = 3
/
ATOMIC_SPECIES
Rh 102.91 Rh.upf
Sn 118.71 Sn.upf
Os 190.23 Os.upf
ATOMIC_POSITIONS angstrom
Rh 2.5320 2.5320 2.5320
Sn 2.5320 0.0000 0.0000
Sn 0.0000 0.0000 2.5320
Sn 0.0000 2.5320 0.0000
Os 0.0000 0.0000 0.0000
CELL_PARAMETERS angstrom
5.0640 0.0000 0.0000
0.0000 5.0640 0.0000
0.0000 0.0000 5.0640
! DOS(E_F), states/eV/cell: 7.29
! Mass density, g cm⁻³: 8.302
! Energy of formation, eV/atom: 0.713
! Magnetic moment, μB per atom: 0.089

***

# 5
! Sn6OsRh (PBE-GGA, optimized geometry); values from VASP
&SYSTEM
  ibrav = 0, nat = 8, ntyp = 3
/
ATOMIC_SPECIES
Sn 118.71 Sn.upf
Os 190.23 Os.upf
Rh 102.91 Rh.upf
ATOMIC_POSITIONS angstrom
Sn 2.2888 0.2871 1.3702
Sn -0.5850 2.2314 1.3702
Sn 0.6582 4.0690 4.7313
Sn 0.1562 0.2309 4.3293
Sn 2.7908 4.1252 1.7722
Sn 3.5321 2.1248 4.7313
Os 1.4735 2.1781 3.0507
Rh 0.0000 0.0000 0.0000
CELL_PARAMETERS angstrom
5.9102 0.0732 -0.1275
-2.1308 5.5132 -0.1275
-0.8323 -1.2303 6.3565
! DOS(E_F), states/eV/cell: 5.08
! Mass density, g cm⁻³: 8.094
! Energy of formation, eV/atom: 0.144
! Magnetic moment, μB per atom: 0.000

***

# 6
! Sn2OsRh (PBE-GGA, optimized geometry); values from VASP
&SYSTEM
  ibrav = 0, nat = 4, ntyp = 3
/
ATOMIC_SPECIES
Sn 118.71 Sn.upf
Rh 102.91 Rh.upf
Os 190.23 Os.upf
ATOMIC_POSITIONS angstrom
Sn 1.8945 -2.0969 -0.0961
Sn 5.6835 -6.2906 -0.2884
Rh 0.0000 0.0000 0.0000
Os 3.7890 -4.1937 -0.1923
CELL_PARAMETERS angstrom
3.8009 -1.7398 1.9614
0.5777 -4.5738 0.2585
3.1994 -2.0738 -2.6045
! DOS(E_F), states/eV/cell: 4.15
! Mass density, g cm⁻³: 12.656
! Energy of formation, eV/atom: 0.083
! Magnetic moment, μB per atom: 0.000

***

# 7
! Sr2OsRh (PBE-GGA, optimized geometry); values from VASP
&SYSTEM
  ibrav = 0, nat = 4, ntyp = 3
/
ATOMIC_SPECIES
Os 190.23 Os.upf
Rh 102.91 Rh.upf
Sr 87.62 Sr.upf
ATOMIC_POSITIONS angstrom
Os -2.7594 2.9523 0.9759
Rh -3.2711 0.7987 1.8189
Sr -0.1890 2.1416 2.6794
Sr -0.1284 0.1374 0.0454
CELL_PARAMETERS angstrom
-0.7583 5.4518 2.2186
-5.7409 1.5017 0.0799
3.4008 -4.4001 2.0718
! DOS(E_F), states/eV/cell: 2.77
! Mass density, g cm⁻³: 7.174
! Energy of formation, eV/atom: 0.271
! Magnetic moment, μB per atom: 0.000

***

# 8
! SrOsRh2 (PBE-GGA, optimized geometry); values from VASP
&SYSTEM
  ibrav = 0, nat = 8, ntyp = 3
/
ATOMIC_SPECIES
Os 190.23 Os.upf
Rh 102.91 Rh.upf
Sr 87.62 Sr.upf
ATOMIC_POSITIONS angstrom
Os -1.8731 -0.0906 6.6608
Os 0.0000 0.0000 0.0000
Rh -2.3907 -1.0875 4.5313
Rh -0.9287 2.0066 7.3726
Rh -1.0291 -2.3277 6.3787
Rh -3.1439 1.0463 8.3606
Sr 0.1472 -2.1106 2.8503
Sr 1.6620 0.2270 6.7134
CELL_PARAMETERS angstrom
-3.3879 -2.4282 2.7978
3.6823 -1.7930 2.9029
-0.5056 4.3576 7.6735
! DOS(E_F), states/eV/cell: 11.16
! Mass density, g cm⁻³: 7.874
! Energy of formation, eV/atom: 0.540
! Magnetic moment, μB per atom: 0.000

***

# 9
! SrOs2Rh (PBE-GGA, optimized geometry); values from VASP
&SYSTEM
  ibrav = 0, nat = 4, ntyp = 3
/
ATOMIC_SPECIES
Sr 87.62 Sr.upf
Rh 102.91 Rh.upf
Os 190.23 Os.upf
ATOMIC_POSITIONS angstrom
Sr -2.7164 -0.9369 0.9553
Rh -3.2352 1.4618 -0.2355
Os -5.3915 -1.6171 -0.9089
Os -9.8255 -2.9471 -1.6564
CELL_PARAMETERS angstrom
-5.5911 0.8773 -2.0460
-4.5536 -3.9201 0.3357
4.1930 3.5677 2.4301
! DOS(E_F), states/eV/cell: 3.69
! Mass density, g cm⁻³: 13.447
! Energy of formation, eV/atom: 0.551
! Magnetic moment, μB per atom: 0.000

***

# 10
! Sr2OsRh (PBE-GGA, optimized geometry); values from VASP
&SYSTEM
  ibrav = 0, nat = 4, ntyp = 3
/
ATOMIC_SPECIES
Rh 102.91 Rh.upf
Sr 87.62 Sr.upf
Os 190.23 Os.upf
ATOMIC_POSITIONS angstrom
Rh 0.0000 2.3678 2.0971
Sr 0.0000 0.0000 0.0000
Sr 2.3663 2.3678 0.0000
Os 2.3663 0.0000 2.0971
CELL_PARAMETERS angstrom
4.7326 0.0000 0.0000
0.0000 4.7356 0.0000
0.0000 0.0000 4.1941
! DOS(E_F), states/eV/cell: 5.19
! Mass density, g cm⁻³: 8.274
! Energy of formation, eV/atom: 0.676
! Magnetic moment, μB per atom: 0.317

***

# 11
! SrOsRh2 (PBE-GGA, optimized geometry); values from VASP
&SYSTEM
  ibrav = 0, nat = 4, ntyp = 3
/
ATOMIC_SPECIES
Rh 102.91 Rh.upf
Os 190.23 Os.upf
Sr 87.62 Sr.upf
ATOMIC_POSITIONS angstrom
Rh 0.0000 0.0000 0.0000
Rh -1.1118 -2.2420 -1.3481
Os -2.2235 -4.4840 -2.6962
Sr -3.3353 -6.7260 -4.0443
CELL_PARAMETERS angstrom
-0.9682 -1.8259 -4.1563
0.3497 -4.5812 -0.6609
-3.8285 -2.5609 -0.5751
! DOS(E_F), states/eV/cell: 5.45
! Mass density, g cm⁻³: 11.356
! Energy of formation, eV/atom: 0.788
! Magnetic moment, μB per atom: 0.014

***

# 12
! SrOsRh2 (PBE-GGA, optimized geometry); values from VASP
&SYSTEM
  ibrav = 0, nat = 4, ntyp = 3
/
ATOMIC_SPECIES
Rh 102.91 Rh.upf
Sr 87.62 Sr.upf
Os 190.23 Os.upf
ATOMIC_POSITIONS angstrom
Rh 0.0000 0.0000 0.0000
Rh -0.4666 -2.9810 -0.2573
Sr -2.6417 -1.1240 -0.0068
Os 0.6188 -1.8191 2.1330
CELL_PARAMETERS angstrom
-3.7271 -2.2859 -2.3972
2.7939 -3.6761 1.8825
-1.5562 0.0378 2.3835
! DOS(E_F), states/eV/cell: 3.37
! Mass density, g cm⁻³: 11.759
! Energy of formation, eV/atom: 0.420
! Magnetic moment, μB per atom: 0.000